# Be2InAuI | the Alexandria database | PBE | optimized geometry
# Total energy (eV per cell): -10.4
# M_tot (μB/cell): 0.00
data_Be2InAuI
_cell_length_a 4.580
_cell_length_b 4.580
_cell_length_c 6.366
_cell_angle_alpha 90.00
_cell_angle_beta 90.00
_cell_angle_gamma 90.00
_symmetry_space_group_name_H-M 'P 1'
_symmetry_Int_Tables_number 1
loop_
_symmetry_equiv_pos_as_xyz
'x,y,z'
loop_
_atom_site_label
_atom_site_fract_x
_atom_site_fract_y
_atom_site_fract_z
Be1 0.000 0.500 0.000
Be2 0.500 0.000 0.000
In1 0.000 0.000 0.000
Au1 0.500 0.500 0.500
I1 0.000 0.000 0.500